Here is a relaxed structure of LiPPd2 from Alexandria via LeMat-Bulk. Energies are from PBE. Values from VASP.

Quantum ESPRESSO input file:
```
&SYSTEM
  ibrav = 0, nat = 8, ntyp = 3
/
ATOMIC_SPECIES
Li 6.94 Li.upf
P 30.97 P.upf
Pd 106.42 Pd.upf
CELL_PARAMETERS angstrom
-3.607 3.607 2.596
3.607 -3.607 2.596
3.607 3.607 -2.596
ATOMIC_POSITIONS crystal
Li 0.000 0.000 0.000
Li 0.750 0.250 0.500
P 0.250 0.750 0.500
P 0.500 0.500 0.000
Pd 0.208 0.625 0.083
Pd 0.375 0.458 0.583
Pd 0.542 0.125 0.917
Pd 0.875 0.792 0.417
```

Results
- Crystal system: tetragonal
- ρ: 6163 kg/m3
- Energy: -4.7792 eV per atom